A relaxed Pm3Zn4Ni2 crystal. Source: the Alexandria database, functional GGA-PBE.

Energy above the most stable polymorph in this dataset (kcal/mol of atoms): 0.501
Total magnetic moment (μB per atom): 0.000

Cell and atoms, written as POSCAR:
```
Pm3Zn4Ni2
1.0
4.891 -2.287 0.000
4.891 2.287 0.000
-1.606 0.000 8.138
Pm Zn Ni
3 4 2
Cartesian
0.000 0.000 0.000
3.241 0.000 2.464
4.936 0.000 5.674
0.301 0.000 3.322
1.355 0.000 7.466
6.822 0.000 0.673
7.876 0.000 4.816
2.056 0.000 5.107
6.121 0.000 3.032
```

***

A relaxed HfTiReOs crystal. Source: the Alexandria database, functional GGA-PBE.

Energy above the most stable polymorph in this dataset (kcal/mol of atoms): 0.000
Total magnetic moment (μB per atom): 0.000

Cell and atoms, written as POSCAR:
```
HfTiReOs
1.0
3.181 0.000 0.000
0.000 3.181 0.000
0.000 0.000 6.402
Hf Ti Re Os
1 1 1 1
Cartesian
0.000 0.000 0.000
0.000 0.000 3.194
1.590 1.590 4.712
1.590 1.590 1.665
```

***

A relaxed Ac3Ga2SiPt9 crystal. Source: the Alexandria database, functional GGA-PBE.

Raw formation energy (eV/atom): -0.743
Total magnetic moment (μB per atom): 0.000

Cell and atoms, written as POSCAR:
```
Ac3Ga2SiPt9
1.0
6.660 0.000 0.000
-3.330 5.768 0.000
0.000 0.000 8.623
Ac Ga Si Pt
3 2 1 9
Cartesian
0.000 0.000 0.000
0.000 3.845 5.841
3.330 1.923 2.782
0.000 3.845 1.651
3.330 1.923 6.972
0.000 0.000 4.312
-1.665 2.884 0.000
0.000 1.622 2.580
-1.925 4.957 2.580
1.405 0.811 6.043
3.330 0.000 0.000
1.665 2.884 0.000
1.925 4.957 2.580
5.255 0.811 6.043
3.330 4.145 6.043
```